(1)
! LaPm4Sm GGA-PBE relaxed; values from VASP
! Energy of formation from the pure elements   0.017 eV per atom
! M_tot   0.0000 μB/atom
! Energy relative to the lowest polymorph listed for this composition   0.000 eV per atom
! DOS(E_F)   9.7 states/eV per cell
! DFT total energy   -28.55 eV per formula unit
! SG   C2/m (12)
&SYSTEM
  ibrav = 0, nat = 6, ntyp = 3
/
ATOMIC_SPECIES
La 138.91 La.upf
Pm 145.00 Pm.upf
Sm 150.36 Sm.upf
CELL_PARAMETERS angstrom
6.0811 -1.8358 0.0000
6.0811 1.8358 0.0000
-4.3832 0.0000 9.3591
ATOMIC_POSITIONS crystal
La 0.0000 0.0000 0.0000
Pm 0.3332 0.3332 0.1684
Pm 0.3326 0.3326 0.6645
Pm 0.6674 0.6674 0.3355
Pm 0.6668 0.6668 0.8316
Sm 0.0000 0.0000 0.5000

(2)
! La2PmSm4 GGA-PBE relaxed; values from VASP
! Energy of formation from the pure elements   0.193 eV per atom
! M_tot   0.0000 μB/atom
! Energy relative to the lowest polymorph listed for this composition   0.000 eV per atom
! DOS(E_F)   21.5 states/eV per cell
! DFT total energy   -32.13 eV per formula unit
! SG   P2/m (10)
&SYSTEM
  ibrav = 0, nat = 14, ntyp = 3
/
ATOMIC_SPECIES
La 138.91 La.upf
Pm 145.00 Pm.upf
Sm 150.36 Sm.upf
CELL_PARAMETERS angstrom
7.0052 0.0000 0.0000
0.0000 10.6537 0.0000
-2.0344 0.0000 6.8160
ATOMIC_POSITIONS crystal
La 0.0000 0.0000 0.0000
La 0.0000 0.0000 0.5000
La 0.0000 0.5000 0.0000
La 0.5000 0.0000 0.0000
Pm 0.0000 0.5000 0.5000
Pm 0.5000 0.5000 0.5000
Sm 0.2690 0.2201 0.3119
Sm 0.2690 0.7799 0.3119
Sm 0.2728 0.2867 0.8108
Sm 0.2728 0.7133 0.8108
Sm 0.7272 0.2867 0.1892
Sm 0.7272 0.7133 0.1892
Sm 0.7310 0.2201 0.6881
Sm 0.7310 0.7799 0.6881

(3)
! La3Pm7Sm GGA-PBE relaxed; values from VASP
! Energy of formation from the pure elements   0.207 eV per atom
! M_tot   0.0000 μB/atom
! Energy relative to the lowest polymorph listed for this composition   0.000 eV per atom
! DOS(E_F)   16.2 states/eV per cell
! DFT total energy   -50.48 eV per formula unit
! SG   C2/m (12)
&SYSTEM
  ibrav = 0, nat = 11, ntyp = 3
/
ATOMIC_SPECIES
La 138.91 La.upf
Pm 145.00 Pm.upf
Sm 150.36 Sm.upf
CELL_PARAMETERS angstrom
5.9519 -5.1487 0.0000
5.9519 5.1487 0.0000
-0.5302 0.0000 6.5104
ATOMIC_POSITIONS crystal
La 0.0000 0.0000 0.0000
La 0.1756 0.8244 0.5000
La 0.8244 0.1756 0.5000
Pm 0.0856 0.4297 0.2385
Pm 0.2382 0.2382 0.7117
Pm 0.4297 0.0856 0.2385
Pm 0.5000 0.5000 0.5000
Pm 0.5703 0.9144 0.7615
Pm 0.7618 0.7618 0.2883
Pm 0.9144 0.5703 0.7615
Sm 0.5000 0.5000 0.0000

(4)
! LaPm2Sm GGA-PBE relaxed; values from VASP
! Energy of formation from the pure elements   0.138 eV per atom
! M_tot   0.0030 μB/atom
! Energy relative to the lowest polymorph listed for this composition   0.122 eV per atom
! DOS(E_F)   11.1 states/eV per cell
! DFT total energy   -18.60 eV per formula unit
! SG   Fm-3m (225)
&SYSTEM
  ibrav = 0, nat = 4, ntyp = 3
/
ATOMIC_SPECIES
La 138.91 La.upf
Pm 145.00 Pm.upf
Sm 150.36 Sm.upf
CELL_PARAMETERS angstrom
0.0000 4.1263 4.1263
4.1263 0.0000 4.1263
4.1263 4.1263 0.0000
ATOMIC_POSITIONS crystal
La 0.0000 0.0000 0.0000
Pm 0.2500 0.2500 0.2500
Pm 0.7500 0.7500 0.7500
Sm 0.5000 0.5000 0.5000

(5)
! La4PmSm3 GGA-PBE relaxed; values from VASP
! Energy of formation from the pure elements   0.341 eV per atom
! M_tot   0.0027 μB/atom
! Energy relative to the lowest polymorph listed for this composition   0.135 eV per atom
! DOS(E_F)   19.6 states/eV per cell
! DFT total energy   -35.89 eV per formula unit
! SG   Cmmm (65)
&SYSTEM
  ibrav = 0, nat = 8, ntyp = 3
/
ATOMIC_SPECIES
La 138.91 La.upf
Pm 145.00 Pm.upf
Sm 150.36 Sm.upf
CELL_PARAMETERS angstrom
5.9855 -6.8629 0.0000
5.9855 6.8629 0.0000
0.0000 0.0000 3.4775
ATOMIC_POSITIONS crystal
La 0.2495 0.7505 0.0000
La 0.2497 0.2497 0.5000
La 0.7503 0.7503 0.5000
La 0.7505 0.2495 0.0000
Pm 0.5000 0.5000 0.0000
Sm 0.0000 0.0000 0.0000
Sm 0.0000 0.5000 0.5000
Sm 0.5000 0.0000 0.5000

(6)
! La12PmSm7 GGA-PBE relaxed; values from VASP
! Energy of formation from the pure elements   0.183 eV per atom
! M_tot   0.0000 μB/atom
! Energy relative to the lowest polymorph listed for this composition   0.000 eV per atom
! DOS(E_F)   38.0 states/eV per cell
! DFT total energy   -93.26 eV per formula unit
! SG   R-3 (148)
&SYSTEM
  ibrav = 0, nat = 20, ntyp = 3
/
ATOMIC_SPECIES
La 138.91 La.upf
Pm 145.00 Pm.upf
Sm 150.36 Sm.upf
CELL_PARAMETERS angstrom
6.3025 3.6388 5.1939
-6.3025 3.6388 5.1939
0.0000 -7.2775 5.1939
ATOMIC_POSITIONS crystal
La 0.0154 0.8881 0.3567
La 0.1119 0.6433 0.9846
La 0.2168 0.3578 0.7658
La 0.2342 0.7832 0.6422
La 0.3567 0.0154 0.8881
La 0.3578 0.7658 0.2168
La 0.6422 0.2342 0.7832
La 0.6433 0.9846 0.1119
La 0.7658 0.2168 0.3578
La 0.7832 0.6422 0.2342
La 0.8881 0.3567 0.0154
La 0.9846 0.1119 0.6433
Pm 0.5000 0.5000 0.5000
Sm 0.0000 0.0000 0.0000
Sm 0.1205 0.4370 0.3568
Sm 0.3568 0.1205 0.4370
Sm 0.4370 0.3568 0.1205
Sm 0.5630 0.6432 0.8795
Sm 0.6432 0.8795 0.5630
Sm 0.8795 0.5630 0.6432

(7)
! La6Pm5Sm GGA-PBE relaxed; values from VASP
! Energy of formation from the pure elements   0.015 eV per atom
! M_tot   0.0000 μB/atom
! Energy relative to the lowest polymorph listed for this composition   0.000 eV per atom
! DOS(E_F)   20.1 states/eV per cell
! DFT total energy   -57.86 eV per formula unit
! SG   P-1 (2)
&SYSTEM
  ibrav = 0, nat = 12, ntyp = 3
/
ATOMIC_SPECIES
La 138.91 La.upf
Pm 145.00 Pm.upf
Sm 150.36 Sm.upf
CELL_PARAMETERS angstrom
5.2485 0.0000 0.0000
2.6052 7.9127 0.0000
0.0184 0.0167 10.2933
ATOMIC_POSITIONS crystal
La 0.0001 0.0000 0.2499
La 0.9999 0.0000 0.7501
La 0.3334 0.3333 0.2497
La 0.3333 0.3333 0.7503
La 0.6667 0.6667 0.2497
La 0.6666 0.6667 0.7503
Pm 0.1664 0.6672 0.0000
Pm 0.1668 0.6664 0.5000
Pm 0.5000 0.0000 0.5000
Pm 0.8332 0.3336 0.5000
Pm 0.8336 0.3328 0.0000
Sm 0.5000 0.0000 0.0000

(8)
! LaPm12Sm5 GGA-PBE relaxed; values from VASP
! Energy of formation from the pure elements   0.015 eV per atom
! M_tot   0.0000 μB/atom
! DOS(E_F)   25.1 states/eV per cell
! DFT total energy   -85.25 eV per formula unit
! SG   C2/m (12)
&SYSTEM
  ibrav = 0, nat = 18, ntyp = 3
/
ATOMIC_SPECIES
La 138.91 La.upf
Pm 145.00 Pm.upf
Sm 150.36 Sm.upf
CELL_PARAMETERS angstrom
9.4880 -5.4872 0.0000
9.4880 5.4872 0.0000
-2.0880 0.0000 5.9653
ATOMIC_POSITIONS crystal
La 0.0000 0.0000 0.0000
Pm 0.0004 0.3346 0.0009
Pm 0.9996 0.6654 0.9991
Pm 0.1669 0.4998 0.5013
Pm 0.1678 0.8322 0.5000
Pm 0.3346 0.0004 0.0009
Pm 0.3345 0.6655 0.0000
Pm 0.4998 0.1669 0.5013
Pm 0.5002 0.8331 0.4987
Pm 0.6654 0.9996 0.9991
Pm 0.6655 0.3345 0.0000
Pm 0.8322 0.1678 0.5000
Pm 0.8331 0.5002 0.4987
Sm 0.1672 0.1672 0.5020
Sm 0.3333 0.3333 0.0005
Sm 0.5000 0.5000 0.5000
Sm 0.6667 0.6667 0.9995
Sm 0.8328 0.8328 0.4980

(9)
! La4PmSm2 GGA-PBE relaxed; values from VASP
! Energy of formation from the pure elements   0.202 eV per atom
! M_tot   0.0000 μB/atom
! Energy relative to the lowest polymorph listed for this composition   0.040 eV per atom
! DOS(E_F)   21.4 states/eV per cell
! DFT total energy   -32.49 eV per formula unit
! SG   Imma (74)
&SYSTEM
  ibrav = 0, nat = 14, ntyp = 3
/
ATOMIC_SPECIES
La 138.91 La.upf
Pm 145.00 Pm.upf
Sm 150.36 Sm.upf
CELL_PARAMETERS angstrom
-3.4942 5.8682 6.1629
3.4942 -5.8682 6.1629
3.4942 5.8682 -6.1629
ATOMIC_POSITIONS crystal
La 0.1473 0.1475 0.9998
La 0.2558 0.2245 0.4687
La 0.2558 0.7872 0.0313
La 0.3522 0.8525 0.4998
La 0.6478 0.1475 0.5002
La 0.7442 0.2128 0.9687
La 0.7442 0.7755 0.5313
La 0.8527 0.8525 0.0002
Pm 0.0000 0.0000 0.5000
Pm 0.0000 0.5000 0.0000
Sm 0.0000 0.5000 0.5000
Sm 0.4683 0.7183 0.7500
Sm 0.5000 0.5000 0.0000
Sm 0.5317 0.2817 0.2500

(10)
! LaPm2Sm GGA-PBE relaxed; values from VASP
! Energy of formation from the pure elements   0.018 eV per atom
! M_tot   0.0000 μB/atom
! Energy relative to the lowest polymorph listed for this composition   0.002 eV per atom
! DOS(E_F)   13.7 states/eV per cell
! DFT total energy   -19.08 eV per formula unit
! SG   Cmcm (63)
&SYSTEM
  ibrav = 0, nat = 8, ntyp = 3
/
ATOMIC_SPECIES
La 138.91 La.upf
Pm 145.00 Pm.upf
Sm 150.36 Sm.upf
CELL_PARAMETERS angstrom
5.1716 -5.1875 0.0000
5.1716 5.1875 0.0000
0.0000 0.0000 5.2099
ATOMIC_POSITIONS crystal
La 0.1264 0.8736 0.7500
La 0.8736 0.1264 0.2500
Pm 0.1264 0.3765 0.7500
Pm 0.3765 0.1264 0.2500
Pm 0.6235 0.8736 0.7500
Pm 0.8736 0.6235 0.2500
Sm 0.3768 0.6232 0.2500
Sm 0.6232 0.3768 0.7500